# Rb2Y2PbO6 GGA-PBE optimized geometry
data_Rb2Y2PbO6
_symmetry_space_group_name_H-M 'C 1 2/m 1'
_symmetry_Int_Tables_number 12
_symmetry_space_group_name_Hall '-C 2y'
_cell_length_a 6.0002
_cell_length_b 10.3939
_cell_length_c 6.9834
_cell_angle_alpha 90.00
_cell_angle_beta 105.99
_cell_angle_gamma 90.00
loop_
_atom_site_label
_atom_site_type_symbol
_atom_site_fract_x
_atom_site_fract_y
_atom_site_fract_z
_atom_site_occupancy
Rb1 Rb 0.0000 0.1656 0.0000 1
Y1 Y 0.0000 0.3343 0.5000 1
Pb1 Pb 0.0000 0.0000 0.5000 1
O1 O 0.2161 0.1666 0.6693 1
O2 O 0.2348 0.5000 0.6685 1
# - spin magnetization (μB per atom) = 0.000
# - energy relative to the elements, uncorrected (eV/atom) = -2.2198
# - crystal system = monoclinic